Here is BaAl2TlCl8 after structural relaxation from the Alexandria database. Energies are from PBE.

The structure in POSCAR format:
```
BaAl2TlCl8
1.0
6.968 0.000 0.000
-3.484 6.035 0.000
0.000 0.000 9.566
Ba Al Tl Cl
1 2 1 8
direct
0.000 0.000 0.000
0.333 0.667 0.253
0.667 0.333 0.747
0.000 0.000 0.500
0.018 0.406 0.172
0.333 0.667 0.475
0.388 0.982 0.172
0.406 0.388 0.828
0.594 0.612 0.172
0.612 0.018 0.828
0.667 0.333 0.525
0.982 0.594 0.828
```

E_form (uncorrected): -1.541 eV per atom
Space group: P-3 (147)
Density of states at the Fermi level: 0.9 states/eV/cell
Calculated volume: 33.5 Å³ per atom